# TmAgBi, relaxed, DFT PBE-GGA
data_TmAgBi
_chemical_formula_sum 'Tm2 Ag2 Bi2'
_symmetry_space_group_name_H-M 'I 4 m m'
_symmetry_Int_Tables_number 107
_symmetry_space_group_name_Hall 'I 4 -2'
_cell_length_a 4.111
_cell_length_b 4.111
_cell_length_c 9.257
_cell_angle_alpha 90.00
_cell_angle_beta 90.00
_cell_angle_gamma 90.00
loop_
_atom_site_label
_atom_site_fract_x
_atom_site_fract_y
_atom_site_fract_z
Tm1 0.000 0.000 0.000
Ag1 0.000 0.000 0.332
Bi1 0.000 0.000 0.656
# Formation energy from the elements   -0.227 eV per atom
# E   -23.8 eV/cell
# Volume   26.068 A^3/atom


# Pm3Y4In2, relaxed, DFT PBE-GGA
data_Pm3Y4In2
_chemical_formula_sum 'Pm6 Y8 In4'
_symmetry_space_group_name_H-M 'C 1 2/m 1'
_symmetry_Int_Tables_number 12
_symmetry_space_group_name_Hall '-C 2y'
_cell_length_a 16.738
_cell_length_b 5.418
_cell_length_c 6.614
_cell_angle_alpha 90.00
_cell_angle_beta 111.36
_cell_angle_gamma 90.00
loop_
_atom_site_label
_atom_site_fract_x
_atom_site_fract_y
_atom_site_fract_z
Pm1 0.000 0.000 0.000
Pm2 0.141 0.000 0.700
Y1 0.073 0.500 0.351
Y2 0.216 0.000 0.272
In1 0.134 0.500 0.951
# Formation energy from the elements   -0.183 eV per atom
# E   -94.5 eV/cell
# Volume   31.035 A^3/atom


# FeTcSb2, relaxed, DFT PBE-GGA
data_FeTcSb2
_chemical_formula_sum 'Fe3 Tc3 Sb6'
_symmetry_space_group_name_H-M 'R 3 m'
_symmetry_Int_Tables_number 160
_symmetry_space_group_name_Hall 'R 3 -2"'
_cell_length_a 3.1108
_cell_length_b 3.1108
_cell_length_c 31.0257
_cell_angle_alpha 90.00
_cell_angle_beta 90.00
_cell_angle_gamma 120.00
loop_
_atom_site_label
_atom_site_fract_x
_atom_site_fract_y
_atom_site_fract_z
Fe1 0.0000 0.0000 0.0000
Tc1 0.0000 0.0000 0.2729
Sb1 0.0000 0.0000 0.5384
Sb2 0.0000 0.0000 0.7326
# Relative energy among the computed polymorphs   204.7 meV/atom
# Formation energy without anion corrections   351 meV/atom
# E   -77.0 eV/cell
# Volume   21.668 A^3/atom


# CuHg2Ge2, relaxed, DFT PBE-GGA
data_CuHg2Ge2
_chemical_formula_sum 'Cu2 Hg4 Ge4'
_symmetry_space_group_name_H-M 'I 4/m m m'
_symmetry_Int_Tables_number 139
_symmetry_space_group_name_Hall '-I 4 2'
_cell_length_a 3.616
_cell_length_b 3.616
_cell_length_c 16.426
_cell_angle_alpha 90.00
_cell_angle_beta 90.00
_cell_angle_gamma 90.00
loop_
_atom_site_label
_atom_site_fract_x
_atom_site_fract_y
_atom_site_fract_z
Cu1 0.000 0.000 0.000
Hg1 0.000 0.000 0.410
Ge1 0.000 0.500 0.250
# Relative energy among the computed polymorphs   193.1 meV/atom
# Formation energy from the elements   0.370 eV per atom
# E   -24.2 eV/cell
# Volume   21.483 A^3/atom


# Ni3IrW, relaxed, DFT PBE-GGA
data_Ni3IrW
_chemical_formula_sum 'Ni3 Ir1 W1'
_symmetry_space_group_name_H-M 'P m -3 m'
_symmetry_Int_Tables_number 221
_symmetry_space_group_name_Hall '-P 4 2 3'
_cell_length_a 4.391
_cell_length_b 4.391
_cell_length_c 4.391
_cell_angle_alpha 90.00
_cell_angle_beta 90.00
_cell_angle_gamma 90.00
loop_
_atom_site_label
_atom_site_fract_x
_atom_site_fract_y
_atom_site_fract_z
Ni1 0.000 0.000 0.500
Ir1 0.500 0.500 0.500
W1 0.000 0.000 0.000
# Relative energy among the computed polymorphs   1756.6 meV/atom
# Formation energy from the elements   1.744 eV per atom
# E   -30.4 eV/cell
# Volume   16.933 A^3/atom


# PmPrCu4, relaxed, DFT PBE-GGA
data_PmPrCu4
_chemical_formula_sum 'Pm4 Pr4 Cu16'
_symmetry_space_group_name_H-M 'F -4 3 m'
_symmetry_Int_Tables_number 216
_symmetry_space_group_name_Hall 'F -4 2 3'
_cell_length_a 7.594
_cell_length_b 7.594
_cell_length_c 7.594
_cell_angle_alpha 90.00
_cell_angle_beta 90.00
_cell_angle_gamma 90.00
loop_
_atom_site_label
_atom_site_fract_x
_atom_site_fract_y
_atom_site_fract_z
Pm1 0.000 0.000 0.000
Pr1 0.250 0.250 0.250
Cu1 0.125 0.125 0.625
# Relative energy among the computed polymorphs   132.4 meV/atom
# Formation energy from the elements   -0.077 eV per atom
# E   -105.5 eV/cell
# Volume   18.244 A^3/atom


| no. | M_tot (μB/cell) |
| --- | --- |
| 1 | 0.000 |
| 2 | 0.001 |
| 3 | 7.188 |
| 4 | 0.000 |
| 5 | 0.000 |
| 6 | 0.000 |